Computed, not measured: a relaxed structure of Pm5Tm3Th at the PBE level of DFT.

Summary:
For the energy relative to the elements, the calculation gives 30.5 kJ/mol of atoms. The size of the total moment is 0.00 μB/f.u.

abc: 7.860 7.860 19.651
angles: 90.00 90.00 90.00
Space group I4/mcm (No. 140)
Asymmetric unit:
Pm: 0.000 0.000 0.000 [4 per cell]
Pm: 0.205 0.295 0.132 [16 per cell]
Tm: 0.000 0.000 0.250 [4 per cell]
Tm: 0.132 0.368 0.500 [8 per cell]
Th: 0.000 0.500 0.250 [4 per cell]

***

Computed, not measured: a relaxed structure of Pm3Tm8Th3 at the PBE level of DFT.

Summary:
For the energy relative to the elements, the calculation gives 14.8 kJ/mol of atoms. The size of the total moment is 0.00 μB/f.u.

abc: 5.593 10.678 14.972
angles: 90.00 90.00 90.00
Space group Immm (No. 71)
Asymmetric unit:
Pm: 0.000 0.000 0.000 [2 per cell]
Pm: 0.000 0.308 0.000 [4 per cell]
Tm: 0.000 0.158 0.225 [8 per cell]
Tm: 0.000 0.341 0.396 [8 per cell]
Th: 0.000 0.000 0.500 [2 per cell]
Th: 0.000 0.500 0.186 [4 per cell]

***

Computed, not measured: a relaxed structure of Pm4Tm8Th at the PBE level of DFT.

Summary:
For the energy relative to the elements, the calculation gives 50.5 kJ/mol of atoms. The size of the total moment is 1.36 μB/f.u.

abc: 10.9581 10.9581 13.3877
angles: 90.00 90.00 120.00
Space group R-3m (No. 166, hexagonal axes)
Asymmetric unit:
Pm: 0.0000 0.0000 0.0000 [3 per cell]
Pm: 0.0000 0.5000 0.0000 [9 per cell]
Tm: 0.0000 0.0000 0.2409 [6 per cell]
Tm: 0.0119 0.5059 0.7465 [18 per cell]
Th: 0.0000 0.0000 0.5000 [3 per cell]

***

Computed, not measured: a relaxed structure of Pm3Tm4Th2 at the PBE level of DFT.

Summary:
For the energy relative to the elements, the calculation gives 3.6 kJ/mol of atoms. The polymorph energy (0 for the lowest one) is 0.000 eV/atom. The size of the total moment is 0.00 μB/f.u.

abc: 15.138 5.054 7.938
angles: 90.00 108.17 90.00
Space group C2/m (No. 12)
Asymmetric unit:
Pm: 0.000 0.000 0.000 [2 per cell]
Pm: 0.114 0.000 0.673 [4 per cell]
Tm: 0.056 0.500 0.331 [4 per cell]
Tm: 0.222 0.000 0.329 [4 per cell]
Th: 0.169 0.500 0.000 [4 per cell]

***

Computed, not measured: a relaxed structure of Pm12Tm6Th at the PBE level of DFT.

Summary:
For the energy relative to the elements, the calculation gives 12.3 kJ/mol of atoms. The polymorph energy (0 for the lowest one) is 0.000 eV/atom. The size of the total moment is 0.00 μB/f.u.

abc: 12.0740 12.0740 15.1937
angles: 90.00 90.00 120.00
Space group R-3 (No. 148, hexagonal axes)
Asymmetric unit:
Pm: 0.0056 0.8315 0.1899 [18 per cell]
Pm: 0.0498 0.8526 0.4150 [18 per cell]
Tm: 0.0168 0.4306 0.6858 [18 per cell]
Th: 0.0000 0.0000 0.0000 [3 per cell]

***

Computed, not measured: a relaxed structure of PmTm3Th at the PBE level of DFT.

Summary:
For the energy relative to the elements, the calculation gives 13.8 kJ/mol of atoms. The polymorph energy (0 for the lowest one) is 0.000 eV/atom. The size of the total moment is 0.00 μB/f.u.

abc: 11.627 6.849 8.555
angles: 90.00 109.73 90.00
Space group C2/m (No. 12)
Asymmetric unit:
Pm: 0.057 0.000 0.234 [4 per cell]
Tm: 0.058 0.500 0.230 [4 per cell]
Tm: 0.155 0.252 0.621 [8 per cell]
Th: 0.249 0.500 0.998 [4 per cell]

***

Computed, not measured: a relaxed structure of PmTm5Th2 at the PBE level of DFT.

Summary:
For the energy relative to the elements, the calculation gives 9.3 kJ/mol of atoms. The size of the total moment is 0.00 μB/f.u.

abc: 3.495 11.092 13.156
angles: 90.00 90.00 90.00
Space group Immm (No. 71)
Asymmetric unit:
Pm: 0.000 0.000 0.000 [2 per cell]
Tm: 0.000 0.229 0.369 [8 per cell]
Tm: 0.000 0.500 0.000 [2 per cell]
Th: 0.000 0.500 0.261 [4 per cell]

***

Computed, not measured: a relaxed structure of PmTm3Th at the PBE level of DFT.

Summary:
For the energy relative to the elements, the calculation gives 14.4 kJ/mol of atoms. The polymorph energy (0 for the lowest one) is 0.005 eV/atom. The size of the total moment is 0.00 μB/f.u.

abc: 8.865 14.651 10.081
angles: 90.00 102.13 90.00
Space group C2/c (No. 15)
Asymmetric unit:
Pm: 0.000 0.008 0.250 [4 per cell]
Pm: 0.000 0.400 0.750 [4 per cell]
Tm: 0.078 0.188 0.953 [8 per cell]
Tm: 0.091 0.399 0.118 [8 per cell]
Tm: 0.198 0.229 0.327 [8 per cell]
Th: 0.225 0.046 0.541 [8 per cell]